! ZrMnAg2Hg meta-GGA SCAN single point on PBEsol structure; values from VASP
&SYSTEM
  ibrav = 0, nat = 5, ntyp = 4
/
ATOMIC_SPECIES
Zr 91.22 Zr.upf
Mn 54.94 Mn.upf
Ag 107.87 Ag.upf
Hg 200.59 Hg.upf
ATOMIC_POSITIONS crystal
Zr 0.0000 0.0000 0.0000
Mn 0.5000 0.5000 0.0000
Ag 0.0000 0.5000 0.5000
Ag 0.5000 0.0000 0.5000
Hg 0.5000 0.5000 0.5000
CELL_PARAMETERS angstrom
4.9555 0.0000 0.0000
0.0000 4.9555 0.0000
0.0000 0.0000 4.8827
! ρ	7.8	g cm⁻³
! ΔH_f (0 K)	863	meV/atom
! Fermi-level density of states	0.698	states/eV per atom
! V	119.9	Å³/f.u.
! total energy	-2.580	Ry/atom

! AgHg3Mo meta-GGA SCAN single point on PBEsol structure; values from VASP
&SYSTEM
  ibrav = 0, nat = 5, ntyp = 3
/
ATOMIC_SPECIES
Ag 107.87 Ag.upf
Hg 200.59 Hg.upf
Mo 95.94 Mo.upf
ATOMIC_POSITIONS crystal
Ag 0.0000 0.0000 0.0000
Hg 0.0000 0.5000 0.5000
Hg 0.5000 0.0000 0.5000
Hg 0.5000 0.5000 0.0000
Mo 0.5000 0.5000 0.5000
CELL_PARAMETERS angstrom
5.2252 0.0000 0.0000
0.0000 5.2252 0.0000
0.0000 0.0000 5.2252
! ρ	9.4	g cm⁻³
! ΔH_f (0 K)	995	meV/atom
! Fermi-level density of states	0.531	states/eV per atom
! V	142.7	Å³/f.u.
! total energy	-3.907	Ry/atom

! AgHgSeN2 meta-GGA SCAN single point on PBEsol structure; values from VASP
&SYSTEM
  ibrav = 0, nat = 5, ntyp = 4
/
ATOMIC_SPECIES
Ag 107.87 Ag.upf
Hg 200.59 Hg.upf
Se 78.96 Se.upf
N 14.01 N.upf
ATOMIC_POSITIONS crystal
Ag 0.0000 0.0000 0.0000
Hg 0.5000 0.5000 0.5000
Se 0.5000 0.5000 0.0000
N 0.0000 0.5000 0.5000
N 0.5000 0.0000 0.5000
CELL_PARAMETERS angstrom
4.1292 0.0000 0.0000
0.0000 4.1292 0.0000
0.0000 0.0000 5.6947
! formation energy (no corrections)	1.757	eV/atom
! ρ	7.1	g cm⁻³
! Fermi-level density of states	0.495	states/eV per atom
! V	97.1	Å³/f.u.
! total energy	-1.902	Ry/atom

! NaAg2Hg2 meta-GGA SCAN single point on PBEsol structure; values from VASP
&SYSTEM
  ibrav = 0, nat = 5, ntyp = 3
/
ATOMIC_SPECIES
Na 22.99 Na.upf
Ag 107.87 Ag.upf
Hg 200.59 Hg.upf
ATOMIC_POSITIONS crystal
Na 0.0000 0.0000 0.0000
Ag 0.2500 0.7500 0.5000
Ag 0.7500 0.2500 0.5000
Hg 0.3981 0.3981 0.0000
Hg 0.6019 0.6019 0.0000
CELL_PARAMETERS angstrom
-1.9821 1.9821 6.8991
1.9821 -1.9821 6.8991
1.9821 1.9821 -6.8991
! ρ	9.8	g cm⁻³
! ΔH_f (0 K)	-89	meV/atom
! Fermi-level density of states	0.266	states/eV per atom
! offset from the most stable computed form	0.0	meV/atom
! V	108.4	Å³/f.u.
! total energy	-2.995	Ry/atom

! NaAgHg2 meta-GGA SCAN single point on PBEsol structure; values from VASP
&SYSTEM
  ibrav = 0, nat = 4, ntyp = 3
/
ATOMIC_SPECIES
Na 22.99 Na.upf
Ag 107.87 Ag.upf
Hg 200.59 Hg.upf
ATOMIC_POSITIONS crystal
Na 0.0000 0.0000 0.0000
Ag 0.5000 0.5000 0.5000
Hg 0.2500 0.2500 0.2500
Hg 0.7500 0.7500 0.7500
CELL_PARAMETERS angstrom
0.0000 3.4401 3.4401
3.4401 0.0000 3.4401
3.4401 3.4401 0.0000
! ρ	10.9	g cm⁻³
! ΔH_f (0 K)	-168	meV/atom
! Fermi-level density of states	0.339	states/eV per atom
! V	81.4	Å³/f.u.
! total energy	-3.171	Ry/atom

! NaAgHg2S meta-GGA SCAN single point on PBEsol structure; values from VASP
&SYSTEM
  ibrav = 0, nat = 5, ntyp = 4
/
ATOMIC_SPECIES
Na 22.99 Na.upf
Ag 107.87 Ag.upf
Hg 200.59 Hg.upf
S 32.06 S.upf
ATOMIC_POSITIONS crystal
Na 0.0000 0.0000 0.0000
Ag 0.0000 0.0000 0.5000
Hg 0.0000 0.5000 0.5000
Hg 0.5000 0.0000 0.5000
S 0.5000 0.5000 0.0000
CELL_PARAMETERS angstrom
5.1157 0.0000 0.0000
0.0000 5.1157 0.0000
0.0000 0.0000 5.4094
! formation energy (no corrections)	0.211	eV/atom
! ρ	6.6	g cm⁻³
! Fermi-level density of states	0.393	states/eV per atom
! V	141.6	Å³/f.u.
! total energy	-2.653	Ry/atom

! NbAgHg2Os meta-GGA SCAN single point on PBEsol structure; values from VASP
&SYSTEM
  ibrav = 0, nat = 5, ntyp = 4
/
ATOMIC_SPECIES
Nb 92.91 Nb.upf
Ag 107.87 Ag.upf
Hg 200.59 Hg.upf
Os 190.23 Os.upf
ATOMIC_POSITIONS crystal
Nb 0.0000 0.0000 0.0000
Ag 0.0000 0.0000 0.5000
Hg 0.0000 0.5000 0.5000
Hg 0.5000 0.0000 0.5000
Os 0.5000 0.5000 0.0000
CELL_PARAMETERS angstrom
4.8405 0.0000 0.0000
0.0000 4.8405 0.0000
0.0000 0.0000 5.0004
! ρ	11.2	g cm⁻³
! ΔH_f (0 K)	1954	meV/atom
! Fermi-level density of states	0.480	states/eV per atom
! V	117.2	Å³/f.u.
! total energy	-3.865	Ry/atom

! Nd2AgHg meta-GGA SCAN single point on PBEsol structure; values from VASP
&SYSTEM
  ibrav = 0, nat = 4, ntyp = 3
/
ATOMIC_SPECIES
Nd 144.24 Nd.upf
Ag 107.87 Ag.upf
Hg 200.59 Hg.upf
ATOMIC_POSITIONS crystal
Nd 0.2500 0.2500 0.2500
Nd 0.7500 0.7500 0.7500
Ag 0.0000 0.0000 0.0000
Hg 0.5000 0.5000 0.5000
CELL_PARAMETERS angstrom
0.0000 3.7208 3.7208
3.7208 0.0000 3.7208
3.7208 3.7208 0.0000
! ρ	9.6	g cm⁻³
! ΔH_f (0 K)	-509	meV/atom
! Fermi-level density of states	0.697	states/eV per atom
! V	103.0	Å³/f.u.
! total energy	-3.468	Ry/atom

! NiAg2Hg meta-GGA SCAN single point on PBEsol structure; values from VASP
&SYSTEM
  ibrav = 0, nat = 4, ntyp = 3
/
ATOMIC_SPECIES
Ni 58.69 Ni.upf
Ag 107.87 Ag.upf
Hg 200.59 Hg.upf
ATOMIC_POSITIONS crystal
Ni 0.0000 0.0000 0.0000
Ag 0.2310 0.7310 0.5000
Ag 0.7690 0.2690 0.5000
Hg 0.5000 0.5000 0.0000
CELL_PARAMETERS angstrom
-1.4780 2.2855 4.7085
1.4780 -2.2855 4.7085
1.4780 2.2855 -4.7085
! ρ	12.4	g cm⁻³
! ΔH_f (0 K)	195	meV/atom
! Fermi-level density of states	0.449	states/eV per atom
! V	63.6	Å³/f.u.
! total energy	-2.688	Ry/atom

! NiAgHg2 meta-GGA SCAN single point on PBEsol structure; values from VASP
&SYSTEM
  ibrav = 0, nat = 4, ntyp = 3
/
ATOMIC_SPECIES
Ni 58.69 Ni.upf
Ag 107.87 Ag.upf
Hg 200.59 Hg.upf
ATOMIC_POSITIONS crystal
Ni 0.0000 0.0000 0.0000
Ag 0.0000 0.5000 0.6091
Hg 0.5000 0.0000 0.5047
Hg 0.5000 0.5000 0.0937
CELL_PARAMETERS angstrom
3.0741 0.0000 0.0000
0.0000 4.6206 0.0000
0.0000 0.0000 4.7405
! ρ	14.0	g cm⁻³
! ΔH_f (0 K)	243	meV/atom
! Fermi-level density of states	0.464	states/eV per atom
! V	67.3	Å³/f.u.
! total energy	-3.361	Ry/atom

! NiAg2Hg meta-GGA SCAN single point on PBEsol structure; values from VASP
&SYSTEM
  ibrav = 0, nat = 4, ntyp = 3
/
ATOMIC_SPECIES
Ni 58.69 Ni.upf
Ag 107.87 Ag.upf
Hg 200.59 Hg.upf
ATOMIC_POSITIONS crystal
Ni 0.0000 0.0000 0.0000
Ag 0.0000 0.0000 0.4829
Ag 0.5000 0.5000 0.2200
Hg 0.5000 0.5000 0.7701
CELL_PARAMETERS angstrom
2.9302 0.0000 0.0000
0.0000 2.9302 0.0000
0.0000 0.0000 7.3940
! ρ	12.4	g cm⁻³
! ΔH_f (0 K)	175	meV/atom
! Fermi-level density of states	0.331	states/eV per atom
! V	63.5	Å³/f.u.
! total energy	-2.690	Ry/atom

! ZnNiAgHg2 meta-GGA SCAN single point on PBEsol structure; values from VASP
&SYSTEM
  ibrav = 0, nat = 5, ntyp = 4
/
ATOMIC_SPECIES
Zn 65.41 Zn.upf
Ni 58.69 Ni.upf
Ag 107.87 Ag.upf
Hg 200.59 Hg.upf
ATOMIC_POSITIONS crystal
Zn 0.0000 0.0000 0.0000
Ni 0.5000 0.5000 0.5000
Ag 0.5000 0.5000 0.0000
Hg 0.0000 0.5000 0.5000
Hg 0.5000 0.0000 0.5000
CELL_PARAMETERS angstrom
4.8415 0.0000 0.0000
0.0000 4.8415 0.0000
0.0000 0.0000 4.8270
! ρ	9.3	g cm⁻³
! ΔH_f (0 K)	530	meV/atom
! Fermi-level density of states	0.390	states/eV per atom
! V	113.1	Å³/f.u.
! total energy	-2.863	Ry/atom

! AgHgO2 meta-GGA SCAN single point on PBEsol structure; values from VASP
&SYSTEM
  ibrav = 0, nat = 8, ntyp = 3
/
ATOMIC_SPECIES
Ag 107.87 Ag.upf
Hg 200.59 Hg.upf
O 16.00 O.upf
ATOMIC_POSITIONS crystal
Ag 0.0000 0.0000 0.0000
Ag 0.0000 0.5000 0.5000
Hg 0.5000 0.0000 0.5000
Hg 0.5000 0.5000 0.0000
O 0.1231 0.2910 0.7944
O 0.2099 0.2158 0.2888
O 0.7901 0.7842 0.7112
O 0.8769 0.7090 0.2056
CELL_PARAMETERS angstrom
3.7617 0.0000 0.0000
-0.1108 5.4832 0.0000
-0.3212 -0.4121 5.7711
! formation energy (no corrections)	-0.233	eV/atom
! ρ	9.5	g cm⁻³
! Fermi-level density of states	0.208	states/eV per atom
! V	59.5	Å³/f.u.
! total energy	-2.075	Ry/atom

! Ag2HgO2 meta-GGA SCAN single point on PBEsol structure; values from VASP
&SYSTEM
  ibrav = 0, nat = 20, ntyp = 3
/
ATOMIC_SPECIES
Ag 107.87 Ag.upf
Hg 200.59 Hg.upf
O 16.00 O.upf
ATOMIC_POSITIONS crystal
Ag 0.9999 0.2444 0.1216
Ag 0.0001 0.7556 0.6216
Ag 0.2444 0.9999 0.8784
Ag 0.2556 0.4999 0.8716
Ag 0.4999 0.2556 0.1284
Ag 0.5001 0.7444 0.6284
Ag 0.7444 0.5001 0.3716
Ag 0.7556 0.0001 0.3784
Hg 0.2074 0.2074 0.5000
Hg 0.2926 0.7074 0.2500
Hg 0.7074 0.2926 0.7500
Hg 0.7926 0.7926 0.0000
O 0.1151 0.2507 0.7361
O 0.2493 0.6151 0.4861
O 0.2507 0.1151 0.2639
O 0.3849 0.7507 0.0139
O 0.6151 0.2493 0.5139
O 0.7493 0.8849 0.7639
O 0.7507 0.3849 0.9861
O 0.8849 0.7493 0.2361
CELL_PARAMETERS angstrom
6.1105 0.0000 0.0000
0.0000 6.1105 0.0000
0.0000 0.0000 8.3754
! formation energy (no corrections)	-0.239	eV/atom
! ρ	9.5	g cm⁻³
! V	78.2	Å³/f.u.
! total energy	-2.125	Ry/atom

! AgHgO2 meta-GGA SCAN single point on PBEsol structure; values from VASP
&SYSTEM
  ibrav = 0, nat = 8, ntyp = 3
/
ATOMIC_SPECIES
Ag 107.87 Ag.upf
Hg 200.59 Hg.upf
O 16.00 O.upf
ATOMIC_POSITIONS crystal
Ag 0.0000 0.0000 0.0000
Ag 0.0000 0.5000 0.5000
Hg 0.5000 0.0000 0.5000
Hg 0.5000 0.5000 0.0000
O 0.2165 0.1828 0.7933
O 0.2165 0.3172 0.2933
O 0.7835 0.6828 0.7067
O 0.7835 0.8172 0.2067
CELL_PARAMETERS angstrom
5.7006 0.0000 0.0000
0.0000 3.6322 0.0000
-1.9132 0.0000 5.6851
! formation energy (no corrections)	-0.227	eV/atom
! ρ	9.6	g cm⁻³
! Fermi-level density of states	0.532	states/eV per atom
! V	58.9	Å³/f.u.
! total energy	-2.075	Ry/atom